Record 1
A geometry-optimized TbInAgSn structure, computed with PBE-GGA. Values from VASP.

## Properties
The space group is Pmmm (47). For the density of states at the Fermi level, the calculation gives 0.509 states/eV/atom. Its offset from the most stable computed form is 0 kJ/mol of formula units. Its magnetization is 0.000 μB per cell.

Geometry as Quantum ESPRESSO input:
```
&SYSTEM
  ibrav = 0, nat = 4, ntyp = 4
/
ATOMIC_SPECIES
Ag 107.87 Ag.upf
Sn 118.71 Sn.upf
Tb 158.93 Tb.upf
In 114.82 In.upf
ATOMIC_POSITIONS angstrom
Ag 2.229 0.000 2.384
Sn 0.000 0.000 0.000
Tb 2.229 2.225 0.000
In 0.000 2.225 2.384
CELL_PARAMETERS angstrom
4.459 0.000 0.000
0.000 4.450 0.000
0.000 0.000 4.767
```

---

Record 2
A geometry-optimized AlAsIr2 structure, computed with PBE-GGA. Values from VASP.

## Properties
The space group is Pmm2 (25). For the density of states at the Fermi level, the calculation gives 0.554 states/eV/atom. Its offset from the most stable computed form is 0 kJ/mol of formula units. Its magnetization is 0.000 μB per cell.

Geometry as Quantum ESPRESSO input:
```
&SYSTEM
  ibrav = 0, nat = 4, ntyp = 3
/
ATOMIC_SPECIES
Al 26.98 Al.upf
As 74.92 As.upf
Ir 192.22 Ir.upf
ATOMIC_POSITIONS angstrom
Al -1.952 0.933 1.086
As -2.428 1.014 4.031
Ir -4.042 1.931 2.249
Ir -0.340 0.017 2.869
CELL_PARAMETERS angstrom
-0.370 -2.531 1.507
2.219 1.356 2.824
-4.245 2.027 2.362
```

---

Record 3
A geometry-optimized SmErTlIn structure, computed with PBE-GGA. Values from VASP.

## Properties
The space group is F-43m (216). The value obtained for the uncorrected energy is -0.14707 Ha/atom. For the density of states at the Fermi level, the calculation gives 0.397 states/eV/atom. Its magnetization is 0.000 μB per cell.

Geometry as Quantum ESPRESSO input:
```
&SYSTEM
  ibrav = 0, nat = 4, ntyp = 4
/
ATOMIC_SPECIES
Tl 204.38 Tl.upf
Er 167.26 Er.upf
In 114.82 In.upf
Sm 150.36 Sm.upf
ATOMIC_POSITIONS angstrom
Tl 0.000 0.000 0.000
Er 8.061 4.654 3.291
In 5.374 3.103 2.194
Sm 2.687 1.551 1.097
CELL_PARAMETERS angstrom
5.374 0.000 0.000
2.687 4.654 0.000
2.687 1.551 4.388
```

---

Record 4
A geometry-optimized Sr3CrSb structure, computed with PBE-GGA. Values from VASP.

## Properties
The space group is Pm-3m (221). For the density of states at the Fermi level, the calculation gives 1.046 states/eV/atom. Its magnetization is 3.729 μB per cell. Its uncorrected formation energy is 353 meV per atom.

Geometry as Quantum ESPRESSO input:
```
&SYSTEM
  ibrav = 0, nat = 5, ntyp = 3
/
ATOMIC_SPECIES
Sr 87.62 Sr.upf
Cr 52.00 Cr.upf
Sb 121.76 Sb.upf
ATOMIC_POSITIONS angstrom
Sr -0.641 -2.086 1.903
Sr 1.226 1.553 2.115
Sr 2.544 -1.274 -0.540
Cr 0.000 0.000 0.000
Sb 3.129 -1.807 3.478
CELL_PARAMETERS angstrom
-1.282 -4.173 3.807
5.088 -2.548 -1.080
2.452 3.105 4.230
```

---

Record 5
A geometry-optimized Ho2TmAg3Se6 structure, computed with PBE-GGA. Values from VASP.

## Properties
The space group is C2/m (12). For the density of states at the Fermi level, the calculation gives 0.000 states/eV/atom. Its magnetization is 0.000 μB per cell. Its uncorrected formation energy is -1159 meV per atom.

Geometry as Quantum ESPRESSO input:
```
&SYSTEM
  ibrav = 0, nat = 12, ntyp = 4
/
ATOMIC_SPECIES
Ho 164.93 Ho.upf
Ag 107.87 Ag.upf
Se 78.96 Se.upf
Tm 168.93 Tm.upf
ATOMIC_POSITIONS angstrom
Ho 0.000 1.940 3.003
Ho 2.072 3.960 6.006
Ag 0.000 5.940 3.261
Ag 2.072 -0.041 5.748
Ag 2.072 4.032 0.228
Se 0.000 1.971 5.881
Se 2.072 3.940 8.878
Se 0.000 5.940 6.159
Se 0.000 1.960 0.131
Se 2.072 3.929 3.128
Se 2.072 -0.040 2.849
Tm 2.072 0.000 0.000
CELL_PARAMETERS angstrom
4.145 0.000 0.000
0.000 8.064 0.455
-2.072 -2.164 8.554
```

---

Record 6
A geometry-optimized Hf2CrOs structure, computed with PBE-GGA. Values from VASP.

## Properties
The space group is P4/mmm (123). The value obtained for the uncorrected energy is -0.38610 Ha/atom. For the density of states at the Fermi level, the calculation gives 0.922 states/eV/atom. Its magnetization is 1.772 μB per cell.

Geometry as Quantum ESPRESSO input:
```
&SYSTEM
  ibrav = 0, nat = 4, ntyp = 3
/
ATOMIC_SPECIES
Hf 178.49 Hf.upf
Os 190.23 Os.upf
Cr 52.00 Cr.upf
ATOMIC_POSITIONS angstrom
Hf 0.000 2.304 0.000
Hf 0.000 0.000 2.304
Os 1.613 0.000 0.000
Cr 1.613 2.304 2.304
CELL_PARAMETERS angstrom
3.225 0.000 0.000
0.000 4.609 0.000
0.000 0.000 4.609
```

---

Record 7
A geometry-optimized Li2Ag3Sn4 structure, computed with PBE-GGA. Values from VASP.

## Properties
The space group is C2/c (15). The value obtained for the uncorrected energy is -0.11919 Ha/atom. For the density of states at the Fermi level, the calculation gives 0.470 states/eV/atom. Its magnetization is 0.000 μB per cell.

Geometry as Quantum ESPRESSO input:
```
&SYSTEM
  ibrav = 0, nat = 18, ntyp = 3
/
ATOMIC_SPECIES
Sn 118.71 Sn.upf
Ag 107.87 Ag.upf
Li 6.94 Li.upf
ATOMIC_POSITIONS angstrom
Sn 3.940 -4.215 -0.492
Sn 9.092 -2.219 1.838
Sn 4.179 -5.117 4.482
Sn 6.838 -3.210 3.600
Sn 9.247 -5.550 1.306
Sn 1.531 -1.875 1.802
Sn 6.599 -2.307 -1.374
Sn 1.686 -5.205 1.270
Ag 4.116 -6.122 -2.588
Ag 6.708 -7.753 -1.909
Ag 5.304 -2.286 1.278
Ag 5.474 -5.139 1.830
Ag 6.662 -1.303 5.696
Ag 4.070 0.328 5.017
Li 6.590 -0.354 3.021
Li 4.188 -7.071 0.088
Li 6.693 -5.136 -0.804
Li 4.084 -2.289 3.912
CELL_PARAMETERS angstrom
0.360 -5.186 2.281
5.113 -3.861 -5.803
5.305 1.621 6.630
```

---

Record 8
A geometry-optimized BeRePt3 structure, computed with PBE-GGA. Values from VASP.

## Properties
The space group is Pm-3m (221). For the density of states at the Fermi level, the calculation gives 1.120 states/eV/atom. Its offset from the most stable computed form is 524 kJ/mol of formula units. Its magnetization is 0.000 μB per cell.

Geometry as Quantum ESPRESSO input:
```
&SYSTEM
  ibrav = 0, nat = 5, ntyp = 3
/
ATOMIC_SPECIES
Pt 195.08 Pt.upf
Re 186.21 Re.upf
Be 9.01 Be.upf
ATOMIC_POSITIONS angstrom
Pt -1.523 -0.316 1.843
Pt 1.705 0.740 1.536
Pt 0.767 -2.273 0.245
Re 0.000 0.000 0.000
Be 0.948 -1.848 3.624
CELL_PARAMETERS angstrom
-3.047 -0.631 3.685
1.534 -4.547 0.489
3.410 1.481 3.073
```

---

Record 9
A geometry-optimized ZnTc3Au structure, computed with PBE-GGA. Values from VASP.

## Properties
The space group is Pm-3m (221). For the density of states at the Fermi level, the calculation gives 2.840 states/eV/atom. Its offset from the most stable computed form is 0 kJ/mol of formula units. Its magnetization is 0.000 μB per cell.

Geometry as Quantum ESPRESSO input:
```
&SYSTEM
  ibrav = 0, nat = 5, ntyp = 3
/
ATOMIC_SPECIES
Tc 98.00 Tc.upf
Zn 65.41 Zn.upf
Au 196.97 Au.upf
ATOMIC_POSITIONS angstrom
Tc 2.241 0.000 0.000
Tc 0.000 0.000 2.241
Tc 0.000 2.241 0.000
Zn 0.000 0.000 0.000
Au 2.241 2.241 2.241
CELL_PARAMETERS angstrom
4.482 0.000 0.000
0.000 4.482 0.000
0.000 0.000 4.482
```

---

Record 10
A geometry-optimized PuBe4Os structure, computed with PBE-GGA. Values from VASP.

## Properties
The space group is F-43m (216). The value obtained for the uncorrected energy is -0.24768 Ha/atom. For the density of states at the Fermi level, the calculation gives 0.783 states/eV/atom. Its magnetization is 4.326 μB per cell.

Geometry as Quantum ESPRESSO input:
```
&SYSTEM
  ibrav = 0, nat = 6, ntyp = 3
/
ATOMIC_SPECIES
Pu 244.00 Pu.upf
Be 9.01 Be.upf
Os 190.23 Os.upf
ATOMIC_POSITIONS angstrom
Pu -2.745 -0.095 0.803
Be -6.884 -0.239 2.013
Be -5.206 -1.308 0.720
Be -5.233 1.058 0.908
Be -4.639 -0.274 2.780
Os 0.000 0.000 0.000
CELL_PARAMETERS angstrom
-3.307 2.104 2.546
-4.422 0.069 -1.511
-3.253 -2.555 2.176
```

---

> Look up the density of states at the Fermi level of the second one.

0.554 states/eV/atom

---

> What is the formula in the third record?

SmErTlIn

---

> Look up the magnetization of the sixth one.

1.772 μB per cell

---

> density of states at the Fermi level of number 6 (Hf2CrOs)?

0.922 states/eV/atom